# SiTeP GGA-PBE optimized geometry
# Calculated volume   66 Å³/cell
# Symmetry   Fmm2 (42)
# Total energy   -4.16 eV/atom
data_SiTeP
_space_group_name_H-M_alt 'P 1'
_space_group_IT_number 1
_cell_length_a 7.7706
_cell_length_b 7.5089
_cell_length_c 3.1452
_cell_angle_alpha 82.83
_cell_angle_beta 73.49
_cell_angle_gamma 23.68
loop_
_space_group_symop_operation_xyz
'x,y,z'
loop_
_atom_site_label
_atom_site_fract_x
_atom_site_fract_y
_atom_site_fract_z
P1 0.9584 0.9584 0.0416
Si1 0.3558 0.3558 0.6442
Te1 0.6858 0.6858 0.3142